Record 1
# SbP2H2 GGA-PBE relaxed
# Magnetic moment: 0.000 μB per formula unit
# Excess energy over the best structure of this formula in the dataset: 0 meV/atom
# Uncorrected energy: -3.652 eV/atom
data_SbP2H2
_symmetry_space_group_name_H-M 'P 4/m b m'
_symmetry_Int_Tables_number 127
_symmetry_space_group_name_Hall '-P 4 2ab'
_cell_length_a 7.016
_cell_length_b 7.016
_cell_length_c 2.873
_cell_angle_alpha 90.00
_cell_angle_beta 90.00
_cell_angle_gamma 90.00
loop_
_atom_site_label
_atom_site_type_symbol
_atom_site_fract_x
_atom_site_fract_y
_atom_site_fract_z
Sb1 Sb 0.000 0.000 0.000
P1 P 0.111 0.389 0.000
H1 H 0.095 0.595 0.500

=====

Record 2
# SbP3H GGA-PBE relaxed
# Magnetic moment: 1.049 μB per formula unit
# Excess energy over the best structure of this formula in the dataset: 866 meV/atom
# Uncorrected energy: -3.031 eV/atom
data_SbP3H
_symmetry_space_group_name_H-M 'P m -3 m'
_symmetry_Int_Tables_number 221
_symmetry_space_group_name_Hall '-P 4 2 3'
_cell_length_a 5.132
_cell_length_b 5.132
_cell_length_c 5.132
_cell_angle_alpha 90.00
_cell_angle_beta 90.00
_cell_angle_gamma 90.00
loop_
_atom_site_label
_atom_site_type_symbol
_atom_site_fract_x
_atom_site_fract_y
_atom_site_fract_z
Sb1 Sb 0.000 0.000 0.000
P1 P 0.000 0.000 0.500
H1 H 0.500 0.500 0.500

=====

Record 3
# SbP3H GGA-PBE relaxed
# Magnetic moment: 0.000 μB per formula unit
# Excess energy over the best structure of this formula in the dataset: 0 meV/atom
# Uncorrected energy: -3.897 eV/atom
data_SbP3H
_symmetry_space_group_name_H-M 'P m -3 m'
_symmetry_Int_Tables_number 221
_symmetry_space_group_name_Hall '-P 4 2 3'
_cell_length_a 4.194
_cell_length_b 4.194
_cell_length_c 4.194
_cell_angle_alpha 90.00
_cell_angle_beta 90.00
_cell_angle_gamma 90.00
loop_
_atom_site_label
_atom_site_type_symbol
_atom_site_fract_x
_atom_site_fract_y
_atom_site_fract_z
Sb1 Sb 0.000 0.000 0.000
P1 P 0.000 0.500 0.500
H1 H 0.500 0.500 0.500

=====

Record 4
# SbP2H2 GGA-PBE relaxed
# Magnetic moment: 0.000 μB per formula unit
# Excess energy over the best structure of this formula in the dataset: 30 meV/atom
# Uncorrected energy: -3.621 eV/atom
data_SbP2H2
_symmetry_space_group_name_H-M 'I 4/m m m'
_symmetry_Int_Tables_number 139
_symmetry_space_group_name_Hall '-I 4 2'
_cell_length_a 3.419
_cell_length_b 3.419
_cell_length_c 10.699
_cell_angle_alpha 90.00
_cell_angle_beta 90.00
_cell_angle_gamma 90.00
loop_
_atom_site_label
_atom_site_type_symbol
_atom_site_fract_x
_atom_site_fract_y
_atom_site_fract_z
Sb1 Sb 0.000 0.000 0.000
P1 P 0.000 0.000 0.347
H1 H 0.000 0.500 0.250

=====

Record 5
# Sn2SbPH GGA-PBE relaxed
# Magnetic moment: 0.000 μB per formula unit
# Uncorrected energy: -4.001 eV/atom
data_Sn2SbPH
_symmetry_space_group_name_H-M 'P 4/m m m'
_symmetry_Int_Tables_number 123
_symmetry_space_group_name_Hall '-P 4 2'
_cell_length_a 5.699
_cell_length_b 5.699
_cell_length_c 3.318
_cell_angle_alpha 90.00
_cell_angle_beta 90.00
_cell_angle_gamma 90.00
loop_
_atom_site_label
_atom_site_type_symbol
_atom_site_fract_x
_atom_site_fract_y
_atom_site_fract_z
Sn1 Sn 0.000 0.500 0.000
Sb1 Sb 0.000 0.000 0.500
P1 P 0.500 0.500 0.000
H1 H 0.500 0.500 0.500

=====

Record 6
# SbTe2PH GGA-PBE relaxed
# Magnetic moment: 0.000 μB per formula unit
# Excess energy over the best structure of this formula in the dataset: 0 meV/atom
# Uncorrected energy: -3.137 eV/atom
data_SbTe2PH
_symmetry_space_group_name_H-M 'P 4/m m m'
_symmetry_Int_Tables_number 123
_symmetry_space_group_name_Hall '-P 4 2'
_cell_length_a 5.253
_cell_length_b 5.253
_cell_length_c 3.841
_cell_angle_alpha 90.00
_cell_angle_beta 90.00
_cell_angle_gamma 90.00
loop_
_atom_site_label
_atom_site_type_symbol
_atom_site_fract_x
_atom_site_fract_y
_atom_site_fract_z
Sb1 Sb 0.000 0.000 0.000
Te1 Te 0.000 0.500 0.500
P1 P 0.500 0.500 0.000
H1 H 0.000 0.000 0.500

=====

Record 7
# SbTe2PH GGA-PBE relaxed
# Magnetic moment: 0.677 μB per formula unit
# Excess energy over the best structure of this formula in the dataset: 257 meV/atom
# Uncorrected energy: -2.880 eV/atom
data_SbTe2PH
_symmetry_space_group_name_H-M 'P 4/m m m'
_symmetry_Int_Tables_number 123
_symmetry_space_group_name_Hall '-P 4 2'
_cell_length_a 5.416
_cell_length_b 5.416
_cell_length_c 5.111
_cell_angle_alpha 90.00
_cell_angle_beta 90.00
_cell_angle_gamma 90.00
loop_
_atom_site_label
_atom_site_type_symbol
_atom_site_fract_x
_atom_site_fract_y
_atom_site_fract_z
Sb1 Sb 0.000 0.000 0.000
Te1 Te 0.000 0.500 0.500
P1 P 0.000 0.000 0.500
H1 H 0.500 0.500 0.000

=====

Record 8
# U2SbPH2 GGA-PBE relaxed
# Magnetic moment: 3.984 μB per formula unit
# Uncorrected energy: -7.025 eV/atom
data_U2SbPH2
_symmetry_space_group_name_H-M 'P -3 m 1'
_symmetry_Int_Tables_number 164
_symmetry_space_group_name_Hall '-P 3 2"'
_cell_length_a 3.8645
_cell_length_b 3.8645
_cell_length_c 7.7640
_cell_angle_alpha 90.00
_cell_angle_beta 90.00
_cell_angle_gamma 120.00
loop_
_atom_site_label
_atom_site_type_symbol
_atom_site_fract_x
_atom_site_fract_y
_atom_site_fract_z
U1 U 0.3333 0.6667 0.2210
Sb1 Sb 0.0000 0.0000 0.5000
P1 P 0.0000 0.0000 0.0000
H1 H 0.3333 0.6667 0.7628

=====

Record 9
# ZnSbPH GGA-PBE relaxed
# Magnetic moment: 0.000 μB per formula unit
# Excess energy over the best structure of this formula in the dataset: 122 meV/atom
# Uncorrected energy: -3.387 eV/atom
data_ZnSbPH
_symmetry_space_group_name_H-M 'C 1 m 1'
_symmetry_Int_Tables_number 8
_symmetry_space_group_name_Hall 'C -2y'
_cell_length_a 10.776
_cell_length_b 3.626
_cell_length_c 3.960
_cell_angle_alpha 90.00
_cell_angle_beta 90.08
_cell_angle_gamma 90.00
loop_
_atom_site_label
_atom_site_type_symbol
_atom_site_fract_x
_atom_site_fract_y
_atom_site_fract_z
Zn1 Zn 0.000 0.000 0.000
Sb1 Sb 0.292 0.500 0.500
P1 P 0.133 0.000 0.500
H1 H 0.475 0.000 0.000

=====

Record 10
# Zn2SbPH GGA-PBE relaxed
# Magnetic moment: 0.000 μB per formula unit
# Uncorrected energy: -2.640 eV/atom
data_Zn2SbPH
_symmetry_space_group_name_H-M 'P 4/m m m'
_symmetry_Int_Tables_number 123
_symmetry_space_group_name_Hall '-P 4 2'
_cell_length_a 4.642
_cell_length_b 4.642
_cell_length_c 3.710
_cell_angle_alpha 90.00
_cell_angle_beta 90.00
_cell_angle_gamma 90.00
loop_
_atom_site_label
_atom_site_type_symbol
_atom_site_fract_x
_atom_site_fract_y
_atom_site_fract_z
Zn1 Zn 0.000 0.500 0.000
Sb1 Sb 0.000 0.000 0.500
P1 P 0.500 0.500 0.500
H1 H 0.500 0.500 0.000

=====

Record 11
# ZnSbPH GGA-PBE relaxed
# Magnetic moment: 0.000 μB per formula unit
# Excess energy over the best structure of this formula in the dataset: 0 meV/atom
# Uncorrected energy: -3.509 eV/atom
data_ZnSbPH
_symmetry_space_group_name_H-M 'P 1'
_symmetry_Int_Tables_number 1
_symmetry_space_group_name_Hall 'P 1'
_cell_length_a 3.786
_cell_length_b 4.667
_cell_length_c 5.812
_cell_angle_alpha 111.75
_cell_angle_beta 108.94
_cell_angle_gamma 90.27
loop_
_atom_site_label
_atom_site_type_symbol
_atom_site_fract_x
_atom_site_fract_y
_atom_site_fract_z
Zn1 Zn 0.000 0.000 0.000
Sb1 Sb 0.874 0.372 0.745
P1 P 0.632 0.022 0.264
H1 H 0.646 0.734 0.298

=====

Record 12
# ZnSbPH GGA-PBE relaxed
# Magnetic moment: 0.000 μB per formula unit
# Excess energy over the best structure of this formula in the dataset: 44 meV/atom
# Uncorrected energy: -3.465 eV/atom
data_ZnSbPH
_symmetry_space_group_name_H-M 'P 1'
_symmetry_Int_Tables_number 1
_symmetry_space_group_name_Hall 'P 1'
_cell_length_a 3.573
_cell_length_b 4.585
_cell_length_c 5.457
_cell_angle_alpha 111.15
_cell_angle_beta 90.37
_cell_angle_gamma 111.19
loop_
_atom_site_label
_atom_site_type_symbol
_atom_site_fract_x
_atom_site_fract_y
_atom_site_fract_z
Zn1 Zn 0.000 0.000 0.000
Sb1 Sb 0.206 0.425 0.747
P1 P 0.569 0.126 0.356
H1 H 0.421 0.809 0.388